# 1
The following is a DFT calculation (GGA-PBE) of crystalline TlTe2As2 at its relaxed geometry.

Summary:
Raw total energy, eV/atom: -3.332
E above lowest polymorph, eV/atom: 0.182
Crystal system: tetragonal
Space-group type: I4/mmm, No. 139
E_form (uncorrected), meV per atom: 257
Magnetic moment, Bohr magnetons per cell: 0.00

POSCAR file:
```
TlTe2As2
1.0
-2.3054 2.3054 6.9309
2.3054 -2.3054 6.9309
2.3054 2.3054 -6.9309
Tl Te As
1 2 2
direct
0.0000 0.0000 0.0000 Tl
0.2500 0.7500 0.5000 Te
0.7500 0.2500 0.5000 Te
0.4163 0.4163 0.0000 As
0.5837 0.5837 0.0000 As
```

***

# 2
The following is a DFT calculation (GGA-PBE) of crystalline Tb6NdTh12 at its relaxed geometry.

Summary:
Raw total energy, eV/atom: -6.152
Crystal system: trigonal
Space-group type: R-3m, No. 166
Magnetic moment, Bohr magnetons per cell: 0.00
ΔE_f, meV/atom: 247

POSCAR file:
```
Tb6NdTh12
1.0
6.6797 3.8566 4.1237
-6.6797 3.8566 4.1237
0.0000 -7.7131 4.1237
Tb Nd Th
6 1 12
direct
0.1594 0.5997 0.5997 Tb
0.4003 0.4003 0.8406 Tb
0.4003 0.8406 0.4003 Tb
0.5997 0.1594 0.5997 Tb
0.5997 0.5997 0.1594 Tb
0.8406 0.4003 0.4003 Tb
0.5000 0.5000 0.5000 Nd
0.0000 0.2528 0.7472 Th
0.0000 0.7472 0.2528 Th
0.1492 0.1492 0.4168 Th
0.1492 0.4168 0.1492 Th
0.2528 0.0000 0.7472 Th
0.2528 0.7472 0.0000 Th
0.4168 0.1492 0.1492 Th
0.5832 0.8508 0.8508 Th
0.7472 0.0000 0.2528 Th
0.7472 0.2528 0.0000 Th
0.8508 0.5832 0.8508 Th
0.8508 0.8508 0.5832 Th
```

***

# 3
The following is a DFT calculation (GGA-PBE) of crystalline Ac5MgGe4 at its relaxed geometry.

Summary:
Raw total energy, eV/atom: -4.536
Crystal system: monoclinic
Space-group type: C2/m, No. 12
Magnetic moment, Bohr magnetons per cell: 0.00
ΔE_f, meV/atom: -475

POSCAR file:
```
Ac5MgGe4
1.0
9.6933 -2.3690 0.0000
9.6933 2.3690 0.0000
-2.0478 0.0000 7.3560
Ac Mg Ge
5 1 4
direct
0.0000 0.0000 0.0000 Ac
0.3278 0.3278 0.0482 Ac
0.3459 0.3459 0.5353 Ac
0.6541 0.6541 0.4647 Ac
0.6722 0.6722 0.9518 Ac
0.0000 0.0000 0.5000 Mg
0.1847 0.1847 0.2238 Ge
0.4841 0.4841 0.3000 Ge
0.5159 0.5159 0.7000 Ge
0.8153 0.8153 0.7762 Ge
```

***

# 4
The following is a DFT calculation (GGA-PBE) of crystalline LiTaBr2 at its relaxed geometry.

Summary:
Raw total energy, eV/atom: -3.440
E above lowest polymorph, eV/atom: 1.141
Crystal system: cubic
Space-group type: F-43m, No. 216
E_form (uncorrected), meV per atom: 838
Magnetic moment, Bohr magnetons per cell: 3.87

POSCAR file:
```
LiTaBr2
1.0
0.0000 3.5813 3.5813
3.5813 0.0000 3.5813
3.5813 3.5813 0.0000
Li Ta Br
1 1 2
direct
0.0000 0.0000 0.0000 Li
0.2500 0.2500 0.2500 Ta
0.5000 0.5000 0.5000 Br
0.7500 0.7500 0.7500 Br
```

***

# 5
The following is a DFT calculation (GGA-PBE) of crystalline BaAl4Hg at its relaxed geometry.

Summary:
Raw total energy, eV/atom: -2.834
Crystal system: cubic
Space-group type: F-43m, No. 216
Magnetic moment, Bohr magnetons per cell: 0.00
ΔE_f, meV/atom: 31

POSCAR file:
```
BaAl4Hg
1.0
0.0000 4.1509 4.1509
4.1509 0.0000 4.1509
4.1509 4.1509 0.0000
Ba Al Hg
1 4 1
direct
0.0000 0.0000 0.0000 Ba
0.3746 0.3746 0.3746 Al
0.3746 0.3746 0.8762 Al
0.3746 0.8762 0.3746 Al
0.8762 0.3746 0.3746 Al
0.7500 0.7500 0.7500 Hg
```

***

# 6
The following is a DFT calculation (GGA-PBE) of crystalline Ac2HfMgAu6 at its relaxed geometry.

Summary:
Raw total energy, eV/atom: -4.472
Crystal system: triclinic
Space-group type: P-1, No. 2
Magnetic moment, Bohr magnetons per cell: 0.00
ΔE_f, meV/atom: -529

POSCAR file:
```
Ac2HfMgAu6
1.0
6.1251 0.0000 0.0000
3.0578 6.4123 0.0000
3.0432 0.4119 6.5438
Ac Hf Mg Au
2 1 1 6
direct
0.2427 0.2137 0.3002 Ac
0.7573 0.7863 0.6998 Ac
0.0000 0.0000 0.0000 Hf
0.5000 0.5000 0.5000 Mg
0.2502 0.7579 0.2529 Au
0.2578 0.5988 0.8913 Au
0.2609 0.2429 0.7511 Au
0.7391 0.7571 0.2489 Au
0.7422 0.4012 0.1087 Au
0.7498 0.2421 0.7471 Au
```

***

# 7
The following is a DFT calculation (GGA-PBE) of crystalline MgNCl2 at its relaxed geometry.

Summary:
Raw total energy, eV/atom: -3.499
E above lowest polymorph, eV/atom: 0.000
Crystal system: trigonal
Space-group type: R-3m, No. 166
E_form (uncorrected), meV per atom: -95
Magnetic moment, Bohr magnetons per cell: 3.00

POSCAR file:
```
MgNCl2
1.0
1.8359 1.0600 9.9446
-1.8359 1.0600 9.9446
0.0000 -2.1199 9.9446
Mg N Cl
1 1 2
direct
0.0000 0.0000 0.0000 Mg
0.5000 0.5000 0.5000 N
0.3793 0.3793 0.3793 Cl
0.6207 0.6207 0.6207 Cl
```

***

# 8
The following is a DFT calculation (GGA-PBE) of crystalline Nd12Sm5Tm2 at its relaxed geometry.

Summary:
Raw total energy, eV/atom: -4.612
E above lowest polymorph, eV/atom: 0.000
Crystal system: monoclinic
Space-group type: C2/m, No. 12
Magnetic moment, Bohr magnetons per cell: 0.00
ΔE_f, meV/atom: 112

POSCAR file:
```
Nd12Sm5Tm2
1.0
8.0194 -4.6693 0.0000
8.0194 4.6693 0.0000
-0.4317 0.0000 8.8339
Nd Sm Tm
12 5 2
direct
0.0579 0.0579 0.3429 Nd
0.0658 0.6727 0.3161 Nd
0.1702 0.5334 0.7619 Nd
0.3273 0.9342 0.6839 Nd
0.4254 0.4254 0.1192 Nd
0.4666 0.8298 0.2381 Nd
0.5334 0.1702 0.7619 Nd
0.5746 0.5746 0.8808 Nd
0.6727 0.0658 0.3161 Nd
0.8298 0.4666 0.2381 Nd
0.9342 0.3273 0.6839 Nd
0.9421 0.9421 0.6571 Nd
0.2058 0.2058 0.0322 Sm
0.2685 0.2685 0.4330 Sm
0.5000 0.5000 0.5000 Sm
0.7315 0.7315 0.5670 Sm
0.7942 0.7942 0.9678 Sm
0.1699 0.8301 0.0000 Tm
0.8301 0.1699 0.0000 Tm
```

***

# 9
The following is a DFT calculation (GGA-PBE) of crystalline Ba2SmO3 at its relaxed geometry.

Summary:
Raw total energy, eV/atom: -6.479
Crystal system: monoclinic
Space-group type: C2/c, No. 15
E_form (uncorrected), meV per atom: -2573
Magnetic moment, Bohr magnetons per cell: 0.00

POSCAR file:
```
Ba2SmO3
1.0
6.0959 -2.7406 0.0000
6.0959 2.7406 0.0000
-2.2367 0.0000 7.0498
Ba Sm O
4 2 6
direct
0.1685 0.1702 0.0846 Ba
0.1702 0.1685 0.5846 Ba
0.8298 0.8315 0.4154 Ba
0.8315 0.8298 0.9154 Ba
0.4759 0.5241 0.7500 Sm
0.5241 0.4759 0.2500 Sm
0.0572 0.9428 0.7500 O
0.3630 0.3673 0.4325 O
0.3673 0.3630 0.9325 O
0.6327 0.6370 0.0675 O
0.6370 0.6327 0.5675 O
0.9428 0.0572 0.2500 O
```

***

# 10
The following is a DFT calculation (GGA-PBE) of crystalline ErAl4Sn at its relaxed geometry.

Summary:
Raw total energy, eV/atom: -4.119
Crystal system: cubic
Space-group type: F-43m, No. 216
Magnetic moment, Bohr magnetons per cell: 0.00
ΔE_f, meV/atom: -197

POSCAR file:
```
ErAl4Sn
1.0
0.0000 3.9147 3.9147
3.9147 0.0000 3.9147
3.9147 3.9147 0.0000
Er Al Sn
1 4 1
direct
0.0000 0.0000 0.0000 Er
0.1243 0.6252 0.6252 Al
0.6252 0.1243 0.6252 Al
0.6252 0.6252 0.1243 Al
0.6252 0.6252 0.6252 Al
0.2500 0.2500 0.2500 Sn
```

***

# 11
The following is a DFT calculation (GGA-PBE) of crystalline Pm3Al3Au at its relaxed geometry.

Summary:
Raw total energy, eV/atom: -4.631
Crystal system: monoclinic
Space-group type: C2/m, No. 12
Magnetic moment, Bohr magnetons per cell: 0.00
ΔE_f, meV/atom: -523

POSCAR file:
```
Pm3Al3Au
1.0
5.5267 -2.2846 0.0000
5.5267 2.2846 0.0000
-5.3517 0.0000 13.9220
Pm Al Au
6 6 2
direct
0.0308 0.0308 0.3789 Pm
0.1048 0.1048 0.9235 Pm
0.2433 0.2433 0.2303 Pm
0.7567 0.7567 0.7697 Pm
0.8952 0.8952 0.0765 Pm
0.9692 0.9692 0.6211 Pm
0.3654 0.3654 0.4626 Al
0.3943 0.3943 0.9224 Al
0.4624 0.4624 0.7678 Al
0.5376 0.5376 0.2322 Al
0.6057 0.6057 0.0776 Al
0.6346 0.6346 0.5374 Al
0.2513 0.2513 0.6057 Au
0.7487 0.7487 0.3943 Au
```

***

# 12
The following is a DFT calculation (GGA-PBE) of crystalline Ba3SrPt2O9 at its relaxed geometry.

Summary:
Raw total energy, eV/atom: -5.982
Crystal system: trigonal
Space-group type: P-3m1, No. 164
E_form (uncorrected), meV per atom: -1705
Magnetic moment, Bohr magnetons per cell: 1.99

POSCAR file:
```
Ba3SrPt2O9
1.0
5.9793 0.0000 0.0000
-2.9897 5.1783 0.0000
0.0000 0.0000 7.4857
Ba Sr Pt O
3 1 2 9
direct
0.0000 0.0000 0.0000 Ba
0.3333 0.6667 0.6846 Ba
0.6667 0.3333 0.3154 Ba
0.0000 0.0000 0.5000 Sr
0.3333 0.6667 0.1560 Pt
0.6667 0.3333 0.8440 Pt
0.0000 0.5000 0.0000 O
0.1800 0.3600 0.3070 O
0.1800 0.8200 0.3070 O
0.3600 0.1800 0.6930 O
0.5000 0.0000 0.0000 O
0.5000 0.5000 0.0000 O
0.6400 0.8200 0.3070 O
0.8200 0.1800 0.6930 O
0.8200 0.6400 0.6930 O
```

***

# 13
The following is a DFT calculation (GGA-PBE) of crystalline AcNbClO4 at its relaxed geometry.

Summary:
Raw total energy, eV/atom: -7.586
Crystal system: monoclinic
Space-group type: C2/m, No. 12
E_form (uncorrected), meV per atom: -2463
Magnetic moment, Bohr magnetons per cell: 0.00

POSCAR file:
```
AcNbClO4
1.0
5.4345 -3.8979 0.0000
5.4345 3.8979 0.0000
-0.8253 0.0000 7.0321
Ac Nb Cl O
2 2 2 8
direct
0.2099 0.2099 0.1076 Ac
0.7901 0.7901 0.8924 Ac
0.3850 0.3850 0.7164 Nb
0.6150 0.6150 0.2836 Nb
0.0346 0.0346 0.7526 Cl
0.9654 0.9654 0.2474 Cl
0.1441 0.5036 0.8514 O
0.3227 0.3227 0.4549 O
0.4398 0.4398 0.2510 O
0.4964 0.8559 0.1486 O
0.5036 0.1441 0.8514 O
0.5602 0.5602 0.7490 O
0.6773 0.6773 0.5451 O
0.8559 0.4964 0.1486 O
```

***

# 14
The following is a DFT calculation (GGA-PBE) of crystalline AsRuPt2 at its relaxed geometry.

Summary:
Raw total energy, eV/atom: -6.492
Crystal system: trigonal
Space-group type: R3m, No. 160
Magnetic moment, Bohr magnetons per cell: 0.00
ΔE_f, meV/atom: 9

POSCAR file:
```
AsRuPt2
1.0
1.4443 0.8339 8.5353
-1.4443 0.8339 8.5353
0.0000 -1.6678 8.5353
As Ru Pt
1 1 2
direct
0.0000 0.0000 0.0000 As
0.2616 0.2616 0.2616 Ru
0.5071 0.5071 0.5071 Pt
0.7493 0.7493 0.7493 Pt
```

***

# 15
The following is a DFT calculation (GGA-PBE) of crystalline PmEr at its relaxed geometry.

Summary:
Raw total energy, eV/atom: -4.639
E above lowest polymorph, eV/atom: 0.000
Crystal system: orthorhombic
Space-group type: Pmma, No. 51
Magnetic moment, Bohr magnetons per cell: 0.00
ΔE_f, meV/atom: 18

POSCAR file:
```
PmEr
1.0
5.7119 0.0000 0.0000
0.0000 3.6578 0.0000
0.0000 0.0000 6.2947
Pm Er
2 2
direct
0.2500 0.0000 0.1690 Pm
0.7500 0.0000 0.8310 Pm
0.2500 0.5000 0.6651 Er
0.7500 0.5000 0.3349 Er
```

***

# 16
The following is a DFT calculation (GGA-PBE) of crystalline PuTl2InF6 at its relaxed geometry.

Summary:
Raw total energy, eV/atom: -5.758
Crystal system: monoclinic
Space-group type: P2_1/c, No. 14
E_form (uncorrected), meV per atom: -2455
Magnetic moment, Bohr magnetons per cell: 10.00

POSCAR file:
```
PuTl2InF6
1.0
6.6454 0.0000 0.0000
0.0000 6.9771 0.0000
-6.3214 0.0000 9.5058
Pu Tl In F
2 4 2 12
direct
0.0000 0.0000 0.0000 Pu
0.0000 0.5000 0.5000 Pu
0.2768 0.0426 0.7609 Tl
0.2768 0.4574 0.2609 Tl
0.7232 0.5426 0.7391 Tl
0.7232 0.9574 0.2391 Tl
0.5000 0.0000 0.5000 In
0.5000 0.5000 0.0000 In
0.1087 0.0587 0.2252 F
0.1087 0.4413 0.7252 F
0.2472 0.7361 0.0740 F
0.2472 0.7639 0.5740 F
0.3340 0.1646 0.0390 F
0.3340 0.3354 0.5390 F
0.6660 0.6646 0.4610 F
0.6660 0.8354 0.9610 F
0.7528 0.2361 0.4260 F
0.7528 0.2639 0.9260 F
0.8913 0.5587 0.2748 F
0.8913 0.9413 0.7748 F
```

***

# 17
The following is a DFT calculation (GGA-PBE) of crystalline SrPrMnN4 at its relaxed geometry.

Summary:
Raw total energy, eV/atom: -7.714
Crystal system: monoclinic
Space-group type: P2_1/m, No. 11
E_form (uncorrected), meV per atom: -723
Magnetic moment, Bohr magnetons per cell: 0.00

POSCAR file:
```
SrPrMnN4
1.0
5.7782 0.0000 0.0000
0.0000 5.4575 0.0000
-2.0037 0.0000 6.9571
Sr Pr Mn N
2 2 2 8
direct
0.2210 0.2500 0.4370 Sr
0.7790 0.7500 0.5630 Sr
0.2695 0.2500 0.9550 Pr
0.7305 0.7500 0.0450 Pr
0.2791 0.7500 0.1993 Mn
0.7209 0.2500 0.8007 Mn
0.0823 0.7500 0.3373 N
0.1209 0.7500 0.9623 N
0.4649 0.5035 0.2424 N
0.4649 0.9965 0.2424 N
0.5351 0.0035 0.7575 N
0.5351 0.4965 0.7575 N
0.8791 0.2500 0.0377 N
0.9177 0.2500 0.6627 N
```

***

# 18
The following is a DFT calculation (GGA-PBE) of crystalline AlCo2Si at its relaxed geometry.

Summary:
Raw total energy, eV/atom: -6.201
Crystal system: orthorhombic
Space-group type: Pmm2, No. 25
E_form (uncorrected), meV per atom: -357
Magnetic moment, Bohr magnetons per cell: 0.00

POSCAR file:
```
AlCo2Si
1.0
2.6724 0.0000 0.0000
0.0000 3.5547 0.0000
0.0000 0.0000 4.8991
Al Co Si
1 2 1
direct
0.0000 0.0000 0.0000 Al
0.0000 0.0000 0.5043 Co
0.5000 0.5000 0.1889 Co
0.5000 0.5000 0.6812 Si
```

***

# 19
The following is a DFT calculation (GGA-PBE) of crystalline TbDy4Hg at its relaxed geometry.

Summary:
Raw total energy, eV/atom: -4.034
E above lowest polymorph, eV/atom: 0.000
Crystal system: tetragonal
Space-group type: P4/mmm, No. 123
Magnetic moment, Bohr magnetons per cell: 0.00
ΔE_f, meV/atom: -144

POSCAR file:
```
TbDy4Hg
1.0
3.5705 0.0000 0.0000
0.0000 3.5705 0.0000
0.0000 0.0000 14.0105
Tb Dy Hg
1 4 1
direct
0.0000 0.0000 0.0000 Tb
0.0000 0.0000 0.3563 Dy
0.0000 0.0000 0.6437 Dy
0.5000 0.5000 0.1780 Dy
0.5000 0.5000 0.8220 Dy
0.5000 0.5000 0.5000 Hg
```

***

# 20
The following is a DFT calculation (GGA-PBE) of crystalline AcHfHg2 at its relaxed geometry.

Summary:
Raw total energy, eV/atom: -3.289
E above lowest polymorph, eV/atom: 0.508
Crystal system: trigonal
Space-group type: R-3m, No. 166
Magnetic moment, Bohr magnetons per cell: 0.00
ΔE_f, meV/atom: 378

POSCAR file:
```
AcHfHg2
1.0
1.7395 1.0043 11.3548
-1.7395 1.0043 11.3548
0.0000 -2.0086 11.3548
Ac Hf Hg
1 1 2
direct
0.0000 0.0000 0.0000 Ac
0.5000 0.5000 0.5000 Hf
0.4154 0.4154 0.4154 Hg
0.5846 0.5846 0.5846 Hg
```

***

# 21
The following is a DFT calculation (GGA-PBE) of crystalline Pr2Zn5AgPd2 at its relaxed geometry.

Summary:
Raw total energy, eV/atom: -3.292
Crystal system: tetragonal
Space-group type: P4/mbm, No. 127
Magnetic moment, Bohr magnetons per cell: 0.00
ΔE_f, meV/atom: -376

POSCAR file:
```
Pr2Zn5AgPd2
1.0
9.9691 0.0000 0.0000
0.0000 9.9691 0.0000
0.0000 0.0000 3.9738
Pr Zn Ag Pd
4 10 2 4
direct
0.1838 0.3162 0.0000 Pr
0.3162 0.8162 0.0000 Pr
0.6838 0.1838 0.0000 Pr
0.8162 0.6838 0.0000 Pr
0.0000 0.5000 0.5000 Zn
0.0511 0.8006 0.5000 Zn
0.1994 0.0511 0.5000 Zn
0.3006 0.5511 0.5000 Zn
0.4489 0.3006 0.5000 Zn
0.5000 0.0000 0.5000 Zn
0.5511 0.6994 0.5000 Zn
0.6994 0.4489 0.5000 Zn
0.8006 0.9489 0.5000 Zn
0.9489 0.1994 0.5000 Zn
0.0000 0.0000 0.0000 Ag
0.5000 0.5000 0.0000 Ag
0.1146 0.6146 0.0000 Pd
0.3854 0.1146 0.0000 Pd
0.6146 0.8854 0.0000 Pd
0.8854 0.3854 0.0000 Pd
```

***

# 22
The following is a DFT calculation (GGA-PBE) of crystalline Na2SrTl8 at its relaxed geometry.

Summary:
Raw total energy, eV/atom: -2.212
E above lowest polymorph, eV/atom: 0.000
Crystal system: monoclinic
Space-group type: C2/m, No. 12
Magnetic moment, Bohr magnetons per cell: 0.00
ΔE_f, meV/atom: -99

POSCAR file:
```
Na2SrTl8
1.0
4.3873 -8.4657 0.0000
4.3873 8.4657 0.0000
-3.8456 0.0000 4.6526
Na Sr Tl
2 1 8
direct
0.1805 0.8195 0.0000 Na
0.8195 0.1805 0.0000 Na
0.5000 0.5000 0.5000 Sr
0.0501 0.0501 0.8013 Tl
0.1359 0.4043 0.7300 Tl
0.2927 0.7073 0.5000 Tl
0.4043 0.1359 0.7300 Tl
0.5957 0.8641 0.2700 Tl
0.7073 0.2927 0.5000 Tl
0.8641 0.5957 0.2700 Tl
0.9499 0.9499 0.1987 Tl
```